# 1
VASP calculation (PBE) on a geometry-optimized BeNiSb2Te structure.

It has space group P4/mmm (No. 123), with a = 4.884 Å, b = 4.884 Å, c = 5.238 Å, α = 90.00°, β = 90.00° and γ = 90.00°. The distinct sites, in fractional coordinates, are Be at (0.000, 0.000, 0.000), Ni at (0.500, 0.500, 0.500), Sb at (0.000, 0.500, 0.500) and Te at (0.500, 0.500, 0.000).

For the density, the calculation gives 5.83 Mg/m³. The value obtained for the uncorrected formation energy is 0.750 eV per atom.

# 2
VASP calculation (PBE) on a geometry-optimized BeNiSb2Te structure.

It has space group P4/mmm (No. 123), with a = 4.775 Å, b = 4.775 Å, c = 5.002 Å, α = 90.00°, β = 90.00° and γ = 90.00°. The distinct sites, in fractional coordinates, are Be at (0.000, 0.000, 0.000), Ni at (0.500, 0.500, 0.500), Sb at (0.000, 0.500, 0.000) and Te at (0.000, 0.000, 0.500).

For the density, the calculation gives 6.39 Mg/m³. The value obtained for the uncorrected formation energy is 0.786 eV per atom.

# 3
VASP calculation (PBE) on a geometry-optimized Ti2BeNi7Sb2 structure.

It has space group I4/mmm (No. 139), with a = 3.397 Å, b = 3.397 Å, c = 29.007 Å, α = 90.00°, β = 90.00° and γ = 90.00°. The distinct sites, in fractional coordinates, are Ti at (0.000, 0.000, 0.123), Be at (0.000, 0.000, 0.500), Ni at (0.000, 0.000, 0.000), Ni at (0.000, 0.000, 0.226), Ni at (0.000, 0.500, 0.061) and Sb at (0.000, 0.000, 0.314).

For the density, the calculation gives 7.53 Mg/m³. The value obtained for the uncorrected formation energy is -0.107 eV per atom.

# 4
VASP calculation (PBE) on a geometry-optimized ScBe5Ni structure.

It has space group Pnma (No. 62), with a = 7.099 Å, b = 4.350 Å, c = 9.122 Å, α = 90.00°, β = 90.00° and γ = 90.00°. The distinct sites, in fractional coordinates, are Sc at (0.239, 0.250, 0.063), Be at (0.051, 0.750, 0.105), Be at (0.064, 0.006, 0.311), Be at (0.090, 0.250, 0.515), Be at (0.186, 0.250, 0.751) and Ni at (0.141, 0.750, 0.860).

For the density, the calculation gives 3.51 Mg/m³. The formation energy is -309 meV per atom.

# 5
VASP calculation (PBE) on a geometry-optimized ScBe6Ni4 structure.

It has space group I-42m (No. 121), with a = 5.734 Å, b = 5.734 Å, c = 7.813 Å, α = 90.00°, β = 90.00° and γ = 90.00°. The distinct sites, in fractional coordinates, are Sc at (0.000, 0.000, 0.000), Be at (0.000, 0.500, 0.000), Be at (0.194, 0.194, 0.684) and Ni at (0.168, 0.168, 0.408).

For the density, the calculation gives 4.32 Mg/m³. The formation energy is 6 meV per atom.

# 6
VASP calculation (PBE) on a geometry-optimized Sc3BeNi2 structure.

It has space group P4/mmm (No. 123), with a = 3.188 Å, b = 3.188 Å, c = 9.381 Å, α = 90.00°, β = 90.00° and γ = 90.00°. The distinct sites, in fractional coordinates, are Sc at (0.000, 0.000, 0.000), Sc at (0.000, 0.000, 0.335), Be at (0.500, 0.500, 0.500) and Ni at (0.500, 0.500, 0.167).

For the density, the calculation gives 4.55 Mg/m³. The formation energy is -352 meV per atom.